BeIr2PtW meta-GGA SCAN PBEsol geometry; final energy = -55.408 eV/atom; D(E_F) = 4.32 states/eV/f.u.; ΔE_f = 1.88 eV per atom; size of the total moment = 0.000 μB/f.u.
1.0
4.674 0.000 0.000
0.000 4.674 0.000
0.000 0.000 4.776
Be Ir Pt W
1 2 1 1
direct
0.000 0.000 0.000
0.000 0.500 0.500
0.500 0.000 0.500
0.500 0.500 0.000
0.500 0.500 0.500


RbBe3Ir meta-GGA SCAN PBEsol geometry; final energy = -17.936 eV/atom; D(E_F) = 4.25 states/eV/f.u.; ΔE_f = 3.04 eV per atom; size of the total moment = 0.000 μB/f.u.
1.0
4.281 0.000 0.000
0.000 4.281 0.000
0.000 0.000 4.281
Rb Be Ir
1 3 1
direct
0.000 0.000 0.000
0.000 0.000 0.500
0.000 0.500 0.000
0.500 0.000 0.000
0.500 0.500 0.500


RbBe2Ir meta-GGA SCAN PBEsol geometry; final energy = -23.939 eV/atom; D(E_F) = 1.40 states/eV/f.u.; ΔE_f = 1.20 eV per atom; size of the total moment = 0.000 μB/f.u.
1.0
6.354 0.000 0.000
0.000 6.354 0.000
0.000 0.000 6.354
Rb Be Ir
4 8 4
direct
0.000 0.000 0.000
0.000 0.500 0.500
0.500 0.000 0.500
0.500 0.500 0.000
0.250 0.250 0.250
0.250 0.250 0.750
0.250 0.750 0.250
0.250 0.750 0.750
0.750 0.250 0.250
0.750 0.250 0.750
0.750 0.750 0.250
0.750 0.750 0.750
0.000 0.000 0.500
0.000 0.500 0.000
0.500 0.000 0.000
0.500 0.500 0.500